1.
Computed, not measured: a geometry-optimized RbGeP structure at the PBE level of DFT.

Results
Formation energy   -247 meV/atom

Cell lengths 3.833, 3.833, 19.499 Å; angles 90.00, 90.00, 120.00 degrees
Fractional positions:
Ge 0.000 0.000 0.536
Ge 0.333 0.667 0.203
Ge 0.667 0.333 0.869
Rb 0.000 0.000 0.015
Rb 0.333 0.667 0.682
Rb 0.667 0.333 0.349
P 0.000 0.000 0.811
P 0.667 0.333 0.145
P 0.333 0.667 0.478

2.
Computed, not measured: a geometry-optimized Hf8Os2S structure at the PBE level of DFT.

Results
DOS at the Fermi energy   9.2 states/eV/cell

Cell lengths 3.358, 8.159, 8.402 Å; angles 98.07, 101.53, 90.00 degrees
Fractional positions:
Hf 0.984 0.765 0.968
Hf 0.795 0.651 0.591
Hf 0.660 0.007 0.321
Hf 0.205 0.349 0.409
Hf 0.408 0.454 0.816
Hf 0.340 0.993 0.679
Hf 0.592 0.546 0.184
Hf 0.016 0.235 0.032
Os 0.187 0.762 0.375
Os 0.813 0.238 0.625
S 0.500 0.000 0.000

3.
Computed, not measured: a geometry-optimized Dy2FeTe structure at the PBE level of DFT.

Results
DOS at the Fermi energy   1.8 states/eV/cell

Cell lengths 3.803, 3.803, 9.421 Å; angles 78.36, 78.36, 60.00 degrees
Fractional positions:
Dy 0.090 0.090 0.730
Dy 0.910 0.910 0.270
Te 0.500 0.500 0.500
Fe 0.000 0.000 0.000

4.
Computed, not measured: a geometry-optimized PmEr5Ga6 structure at the PBE level of DFT.

Results
ΔE to the lowest computed polymorph   0.000 eV per formula unit
DOS at the Fermi energy   4.5 states/eV/cell
Formation energy   -573 meV/atom

Cell lengths 5.035, 7.115, 7.963 Å; angles 90.00, 71.57, 90.00 degrees
Fractional positions:
Ga 0.830 0.255 0.339
Ga 0.830 0.745 0.339
Ga 0.500 0.745 0.000
Ga 0.170 0.745 0.661
Ga 0.170 0.255 0.661
Ga 0.500 0.255 0.000
Er 0.664 0.500 0.672
Er 0.668 0.000 0.665
Er 0.336 0.500 0.328
Er 0.000 0.500 0.000
Er 0.332 0.000 0.335
Pm 0.000 0.000 0.000

5.
Computed, not measured: a geometry-optimized PrNdAsBr structure at the PBE level of DFT.

Results
DOS at the Fermi energy   1.3 states/eV/cell

Cell lengths 4.199, 4.201, 7.963 Å; angles 90.00, 105.28, 120.01 degrees
Fractional positions:
Nd 0.110 0.953 0.078
Pr 0.495 0.145 0.656
As 0.307 0.551 0.874
Br 0.966 0.381 0.362

6.
Computed, not measured: a geometry-optimized Sm2InP2N6 structure at the PBE level of DFT.

Results
DOS at the Fermi energy   2.9 states/eV/cell

Cell lengths 5.625, 5.625, 5.929 Å; angles 90.00, 90.00, 120.00 degrees
Fractional positions:
N 0.633 0.711 0.768
N 0.922 0.633 0.232
N 0.367 0.289 0.232
N 0.711 0.078 0.232
N 0.289 0.922 0.768
N 0.078 0.367 0.768
In 0.000 0.000 0.000
P 0.667 0.333 0.166
P 0.333 0.667 0.834
Sm 0.667 0.333 0.647
Sm 0.333 0.667 0.353

The records above give, respectively, VASP energy values of -3.9118; -10.1354; -4.9900; -4.3833; -5.3872; -7.1246 eV/atom.